DFT (PBE-GGA) results for crystalline SiSb2PdI at its relaxed geometry.

V   29.7 Å³ per atom
Space-group type   P4/mmm
Fermi-level density of states   1.362 states/eV per atom
Spin magnetization   0.00 μB per cell
Energy relative to the elements, uncorrected   3.5 eV/f.u.
Offset from the most stable computed form   0 meV/atom
Electronic total energy   -3.374 eV/atom

Cell and atoms, written as POSCAR:
```
SiSb2PdI
1.0
5.2027 0.0000 0.0000
0.0000 5.2027 0.0000
0.0000 0.0000 5.4894
Si Sb Pd I
1 2 1 1
Direct
0.0000 0.0000 0.0000 Si
0.0000 0.5000 0.5000 Sb
0.5000 0.0000 0.5000 Sb
0.5000 0.5000 0.5000 Pd
0.5000 0.5000 0.0000 I
```

DFT (PBE-GGA) results for crystalline SnSbPdI2 at its relaxed geometry.

V   31.8 Å³ per atom
Space-group type   P4/mmm
Fermi-level density of states   0.725 states/eV per atom
Spin magnetization   0.00 μB per cell
Energy relative to the elements, uncorrected   0.9 eV/f.u.
Offset from the most stable computed form   0 meV/atom
Electronic total energy   -3.104 eV/atom

Cell and atoms, written as POSCAR:
```
SnSbPdI2
1.0
5.4475 0.0000 0.0000
0.0000 5.4475 0.0000
0.0000 0.0000 5.3559
Sn Sb Pd I
1 1 1 2
Direct
0.0000 0.0000 0.0000 Sn
0.5000 0.5000 0.0000 Sb
0.5000 0.5000 0.5000 Pd
0.0000 0.5000 0.5000 I
0.5000 0.0000 0.5000 I
```

DFT (PBE-GGA) results for crystalline SrSb2PdI at its relaxed geometry.

V   32.2 Å³ per atom
Space-group type   P4/mmm
Fermi-level density of states   1.364 states/eV per atom
Spin magnetization   0.00 μB per cell
Energy relative to the elements, uncorrected   -1.5 eV/f.u.
Offset from the most stable computed form   0 meV/atom
Electronic total energy   -3.639 eV/atom

Cell and atoms, written as POSCAR:
```
SrSb2PdI
1.0
5.2521 0.0000 0.0000
0.0000 5.2521 0.0000
0.0000 0.0000 5.8318
Sr Sb Pd I
1 2 1 1
Direct
0.0000 0.0000 0.0000 Sr
0.0000 0.5000 0.5000 Sb
0.5000 0.0000 0.5000 Sb
0.5000 0.5000 0.5000 Pd
0.5000 0.5000 0.0000 I
```

DFT (PBE-GGA) results for crystalline SrSb2PdI at its relaxed geometry.

V   46.2 Å³ per atom
Space-group type   P4/mmm
Fermi-level density of states   1.413 states/eV per atom
Spin magnetization   0.00 μB per cell
Energy relative to the elements, uncorrected   4.0 eV/f.u.
Offset from the most stable computed form   1098 meV/atom
Electronic total energy   -2.541 eV/atom

Cell and atoms, written as POSCAR:
```
SrSb2PdI
1.0
6.1586 0.0000 0.0000
0.0000 6.1586 0.0000
0.0000 0.0000 6.0848
Sr Sb Pd I
1 2 1 1
Direct
0.0000 0.0000 0.0000 Sr
0.0000 0.5000 0.0000 Sb
0.5000 0.0000 0.0000 Sb
0.5000 0.5000 0.5000 Pd
0.0000 0.0000 0.5000 I
```

DFT (PBE-GGA) results for crystalline SrSbPdI2 at its relaxed geometry.

V   52.4 Å³ per atom
Space-group type   P4/mmm
Fermi-level density of states   2.108 states/eV per atom
Spin magnetization   1.87 μB per cell
Energy relative to the elements, uncorrected   1.3 eV/f.u.
Offset from the most stable computed form   712 meV/atom
Electronic total energy   -2.566 eV/atom

Cell and atoms, written as POSCAR:
```
SrSbPdI2
1.0
6.2946 0.0000 0.0000
0.0000 6.2946 0.0000
0.0000 0.0000 6.6182
Sr Sb Pd I
1 1 1 2
Direct
0.0000 0.0000 0.0000 Sr
0.0000 0.0000 0.5000 Sb
0.5000 0.5000 0.5000 Pd
0.0000 0.5000 0.0000 I
0.5000 0.0000 0.0000 I
```

DFT (PBE-GGA) results for crystalline SrSbPdI2 at its relaxed geometry.

V   33.5 Å³ per atom
Space-group type   P4/mmm
Fermi-level density of states   0.794 states/eV per atom
Spin magnetization   0.72 μB per cell
Energy relative to the elements, uncorrected   -2.3 eV/f.u.
Offset from the most stable computed form   0 meV/atom
Electronic total energy   -3.278 eV/atom

Cell and atoms, written as POSCAR:
```
SrSbPdI2
1.0
5.5587 0.0000 0.0000
0.0000 5.5587 0.0000
0.0000 0.0000 5.4152
Sr Sb Pd I
1 1 1 2
Direct
0.0000 0.0000 0.0000 Sr
0.5000 0.5000 0.0000 Sb
0.5000 0.5000 0.5000 Pd
0.0000 0.5000 0.5000 I
0.5000 0.0000 0.5000 I
```